[1]
Entry from the Alexandria database: a relaxed structure of CuB3N (GGA-PBE).

The structure in POSCAR format:
```
CuB3N
1.0
3.4161 0.0000 0.0000
0.0000 3.4161 0.0000
0.0000 0.0000 3.4161
Cu B N
1 3 1
Direct
0.0000 0.0000 0.0000 Cu
0.0000 0.5000 0.5000 B
0.5000 0.0000 0.5000 B
0.5000 0.5000 0.0000 B
0.5000 0.5000 0.5000 N
```

Formation energy from raw total energies = 1735.9 meV per atom
Space-group type = Pm-3m, No. 221
N(E_F) = 2.505 states/eV per cell
Energy above the most stable polymorph in this dataset = 0 meV/atom

[2]
Entry from the Alexandria database: a relaxed structure of TbDy3Mg8 (GGA-PBE).

The structure in POSCAR format:
```
TbDy3Mg8
1.0
6.0680 0.0000 0.0000
-3.0340 5.2550 0.0000
0.0000 0.0000 9.7559
Tb Dy Mg
1 3 8
Direct
0.0000 0.0000 0.0000 Tb
0.0000 0.0000 0.3716 Dy
0.6667 0.3333 0.4994 Dy
0.6667 0.3333 0.8707 Dy
0.1627 0.3253 0.6853 Mg
0.1627 0.8373 0.6853 Mg
0.3333 0.6667 0.4355 Mg
0.3333 0.6667 0.9355 Mg
0.5042 0.0083 0.1856 Mg
0.5042 0.4958 0.1856 Mg
0.6747 0.8373 0.6853 Mg
0.9917 0.4958 0.1856 Mg
```

E_form = -0.0694 eV per atom
Space-group type = P3m1, No. 156
N(E_F) = 13.552 states/eV per cell

[3]
Entry from the Alexandria database: a relaxed structure of Y2TaHg (GGA-PBE).

The structure in POSCAR format:
```
Y2TaHg
1.0
3.2334 0.0000 0.0000
0.0000 5.2449 0.0000
0.0000 0.0000 5.7576
Y Ta Hg
2 1 1
Direct
0.0000 0.0000 0.0000 Y
0.0000 0.5000 0.3917 Y
0.5000 0.0000 0.5264 Ta
0.5000 0.5000 0.8655 Hg
```

E_form = 0.1170 eV per atom
Space-group type = Pmm2, No. 25
N(E_F) = 4.806 states/eV per cell

[4]
Entry from the Alexandria database: a relaxed structure of Co2RhBr (GGA-PBE).

The structure in POSCAR format:
```
Co2RhBr
1.0
3.0792 0.0000 0.0000
0.0000 3.0792 0.0000
0.0000 0.0000 6.3991
Co Rh Br
2 1 1
Direct
0.0000 0.0000 0.0000 Co
0.5000 0.5000 0.1848 Co
0.0000 0.0000 0.4018 Rh
0.5000 0.5000 0.7335 Br
```

Formation energy from raw total energies = 475.8 meV per atom
Space-group type = P4mm, No. 99
N(E_F) = 5.406 states/eV per cell
Energy above the most stable polymorph in this dataset = 51 meV/atom

[5]
Entry from the Alexandria database: a relaxed structure of NaSnBrF2 (GGA-PBE).

The structure in POSCAR format:
```
NaSnBrF2
1.0
6.7199 0.0000 0.0000
0.0000 4.1159 0.0000
-1.6844 0.0000 7.8694
Na Sn Br F
2 2 2 4
Direct
0.1716 0.2500 0.4160 Na
0.8284 0.7500 0.5840 Na
0.2020 0.2500 0.8889 Sn
0.7980 0.7500 0.1111 Sn
0.4306 0.7500 0.6996 Br
0.5694 0.2500 0.3004 Br
0.0043 0.7500 0.3531 F
0.0217 0.7500 0.8899 F
0.9783 0.2500 0.1101 F
0.9957 0.2500 0.6469 F
```

Formation energy from raw total energies = -2028.8 meV per atom
Space-group type = P2_1/m, No. 11
N(E_F) = 0.000 states/eV per cell

[6]
Entry from the Alexandria database: a relaxed structure of Ca2Ni2H5 (GGA-PBE).

The structure in POSCAR format:
```
Ca2Ni2H5
1.0
3.4652 0.0000 0.0000
0.0000 3.4652 0.0000
0.0000 0.0000 7.2922
Ca Ni H
2 2 5
Direct
0.0000 0.0000 0.0000 Ca
0.0000 0.0000 0.5000 Ca
0.5000 0.5000 0.2386 Ni
0.5000 0.5000 0.7614 Ni
0.0000 0.5000 0.2577 H
0.0000 0.5000 0.7423 H
0.5000 0.0000 0.2577 H
0.5000 0.0000 0.7423 H
0.5000 0.5000 0.0000 H
```

Space-group type = P4/mmm, No. 123
N(E_F) = 2.609 states/eV per cell

[7]
Entry from the Alexandria database: a relaxed structure of CeNdH3 (GGA-PBE).

The structure in POSCAR format:
```
CeNdH3
1.0
4.2818 0.0000 0.0000
0.0000 4.2818 0.0000
0.0000 0.0000 4.2818
Ce Nd H
1 1 3
Direct
0.0000 0.0000 0.0000 Ce
0.5000 0.5000 0.5000 Nd
0.0000 0.0000 0.5000 H
0.0000 0.5000 0.0000 H
0.5000 0.0000 0.0000 H
```

Space-group type = Pm-3m, No. 221
N(E_F) = 6.868 states/eV per cell

[8]
Entry from the Alexandria database: a relaxed structure of RbMg2Te2 (GGA-PBE).

The structure in POSCAR format:
```
RbMg2Te2
1.0
4.9284 0.0000 0.0000
0.0000 4.9284 0.0000
0.0000 0.0000 15.1211
Rb Mg Te
2 4 4
Direct
0.0000 0.0000 0.0000 Rb
0.5000 0.5000 0.5000 Rb
0.0000 0.5000 0.2500 Mg
0.0000 0.5000 0.7500 Mg
0.5000 0.0000 0.2500 Mg
0.5000 0.0000 0.7500 Mg
0.0000 0.0000 0.3533 Te
0.0000 0.0000 0.6467 Te
0.5000 0.5000 0.1467 Te
0.5000 0.5000 0.8533 Te
```

Formation energy from raw total energies = -682.7 meV per atom
Space-group type = I4/mmm, No. 139
N(E_F) = 6.766 states/eV per cell
Energy above the most stable polymorph in this dataset = 0 meV/atom

no.,E (eV/cell)
1,-23.774
2,-32.027
3,-24.615
4,-21.333
5,-41.763
6,-36.417
7,-21.661
8,-27.707